1.
{"formula": "TaBeAu2", "functional": "GGA-PBE", "state": "relaxed", "lattice": [[-2.154, 2.154, 3.437], [2.154, -2.154, 3.437], [2.154, 2.154, -3.437]], "species": ["Ta", "Be", "Au", "Au"], "fractional_positions": [[0.000, 0.000, 0.000], [0.750, 0.250, 0.500], [0.250, 0.750, 0.500], [0.500, 0.500, 0.000]], "e_tot_ev_per_atom": -5.32, "sg": "I-4m2, No. 119", "magnetic_moment_mub_per_atom": 0.0000}

2.
{"formula": "TaBe3Au", "functional": "GGA-PBE", "state": "relaxed", "lattice": [[4.404, 0.000, 0.000], [0.000, 4.404, 0.000], [0.000, 0.000, 4.404]], "species": ["Ta", "Be", "Be", "Be", "Au"], "fractional_positions": [[0.000, 0.000, 0.000], [0.000, 0.000, 0.500], [0.000, 0.500, 0.000], [0.500, 0.000, 0.000], [0.500, 0.500, 0.500]], "e_above_lowest_polymorph_ev_per_atom": 0.863, "sg": "Pm-3m, No. 221", "magnetic_moment_mub_per_atom": 0.0000}